Entry 1:
This record from Alexandria describes Cd2RhAu after structural relaxation. The functional is PBE-GGA.

Cell lengths 3.1412, 3.7734, 6.0784 Å; angles 90.00, 90.00, 90.00 degrees
Last column: nearest neighbours and their distance in Å.
Element x y z (fractional)
Cd  0.0000  0.0000  0.2372  4 Rh 2.85, 3 Cd 2.88-3.14, 4 Au 2.93
Cd  0.0000  0.0000  0.7628  4 Rh 2.85, 3 Cd 2.88-3.14, 4 Au 2.93
Rh  0.5000  0.5000  0.0000  8 Cd 2.85, 2 Au 3.04, 2 Rh 3.14
Au  0.5000  0.5000  0.5000  8 Cd 2.93, 2 Rh 3.04, 2 Au 3.14

Space-group type: Pmmm (47)
Energy of formation: -0.147 eV per atom
Density of states at the Fermi level: 0.334 states/eV/atom
Calculated volume: 18.0 Å³ per atom

***

Entry 2:
This record from Alexandria describes SiIr2Br after structural relaxation. The functional is PBE-GGA.

Cell lengths 4.2552, 4.2552, 3.3943 Å; angles 90.00, 90.00, 90.00 degrees
Last column: nearest neighbours and their distance in Å.
Element x y z (fractional)
Si  0.0000  0.0000  0.0000  8 Ir 2.72, 4 Br 3.01
Ir  0.0000  0.5000  0.5000  4 Br 2.72, 4 Si 2.72, 4 Ir 3.01
Ir  0.5000  0.0000  0.5000  4 Br 2.72, 4 Si 2.72, 4 Ir 3.01
Br  0.5000  0.5000  0.0000  8 Ir 2.72, 4 Si 3.01

Raw formation energy: 0.7546 eV/atom
Space-group type: P4/mmm (123)
Offset from the most stable computed form: 804 meV per atom
Density of states at the Fermi level: 0.937 states/eV/atom
Calculated volume: 15.4 Å³ per atom

***

Entry 3:
This record from Alexandria describes Ba4Si3Br2 after structural relaxation. The functional is PBE-GGA.

Cell lengths 15.2516, 8.9687, 8.9050 Å; angles 90.00, 101.95, 90.00 degrees
Last column: nearest neighbours and their distance in Å.
Element x y z (fractional)
Ba  0.0447  0.2112  0.0209  8 Si 3.33-3.71
Ba  0.0447  0.2888  0.5209  8 Si 3.33-3.71
Ba  0.1454  0.5624  0.8705  1 Br 3.28, 5 Si 3.50-3.67
Ba  0.1454  0.9376  0.3705  1 Br 3.28, 5 Si 3.50-3.67
Ba  0.3311  0.6613  0.2663  4 Br 3.29-3.68, 2 Si 3.37-3.40
Ba  0.3311  0.8387  0.7663  4 Br 3.29-3.68, 2 Si 3.37-3.40
Ba  0.3461  0.1784  0.1189  3 Si 3.25-3.50, 4 Br 3.32-3.62
Ba  0.3461  0.3216  0.6189  3 Si 3.25-3.50, 4 Br 3.32-3.62
Ba  0.6539  0.6784  0.3811  3 Si 3.25-3.50, 4 Br 3.32-3.62
Ba  0.6539  0.8216  0.8811  3 Si 3.25-3.50, 4 Br 3.32-3.62
Ba  0.6689  0.1613  0.2337  4 Br 3.29-3.68, 2 Si 3.37-3.40
Ba  0.6689  0.3387  0.7337  4 Br 3.29-3.68, 2 Si 3.37-3.40
Ba  0.8546  0.0624  0.6295  1 Br 3.28, 5 Si 3.50-3.67
Ba  0.8546  0.4376  0.1295  1 Br 3.28, 5 Si 3.50-3.67
Ba  0.9553  0.7112  0.4791  8 Si 3.33-3.71
Ba  0.9553  0.7888  0.9791  8 Si 3.33-3.71
Si  0.0879  0.5647  0.2392  2 Si 2.41-2.42
Si  0.0879  0.9353  0.7392  2 Si 2.41-2.42
Si  0.1848  0.5675  0.4920  2 Si 2.42-2.49
Si  0.1848  0.9325  0.9920  2 Si 2.42-2.49
Si  0.1980  0.1306  0.8027  2 Si 2.41-2.49
Si  0.1980  0.3694  0.3027  2 Si 2.41-2.49
Si  0.8020  0.6306  0.6973  2 Si 2.41-2.49
Si  0.8020  0.8694  0.1973  2 Si 2.41-2.49
Si  0.8152  0.0675  0.0080  2 Si 2.42-2.49
Si  0.8152  0.4325  0.5080  2 Si 2.42-2.49
Si  0.9121  0.0647  0.2608  2 Si 2.41-2.42
Si  0.9121  0.4353  0.7608  2 Si 2.41-2.42
Br  0.3627  0.5069  0.9464  5 Ba 3.28-3.37
Br  0.3627  0.9931  0.4464  5 Ba 3.28-3.37
Br  0.4926  0.6406  0.6344  5 Ba 3.36-3.68, 1 Br 3.52
Br  0.4926  0.8594  0.1344  5 Ba 3.36-3.68, 1 Br 3.52
Br  0.5074  0.1406  0.8656  5 Ba 3.36-3.68, 1 Br 3.52
Br  0.5074  0.3594  0.3656  5 Ba 3.36-3.68, 1 Br 3.52
Br  0.6373  0.0069  0.5536  5 Ba 3.28-3.37
Br  0.6373  0.4931  0.0536  5 Ba 3.28-3.37

Raw formation energy: -1.0181 eV/atom
Space-group type: P2_1/c (14)
Density of states at the Fermi level: 0.011 states/eV/atom
Calculated volume: 33.1 Å³ per atom

***

Entry 4:
This record from Alexandria describes Nd2DyIn3 after structural relaxation. The functional is PBE-GGA.

Cell lengths 14.8351, 14.8351, 6.5929 Å; angles 90.00, 90.00, 165.48 degrees
Last column: nearest neighbours and their distance in Å.
Element x y z (fractional)
Nd  0.0052  0.9948  0.7500  2 Nd 3.31, 8 In 3.31-3.46
Nd  0.1534  0.8466  0.2500  6 In 3.28-3.32
Nd  0.8466  0.1534  0.7500  6 In 3.28-3.32
Nd  0.9948  0.0052  0.2500  2 Nd 3.31, 8 In 3.31-3.46
Dy  0.3306  0.6694  0.2500  4 In 3.14-3.19
Dy  0.6694  0.3306  0.7500  4 In 3.14-3.19
In  0.2551  0.7449  0.7500  2 Dy 3.14, 2 Nd 3.28
In  0.4223  0.5777  0.5092  2 In 3.17-3.42, 1 Dy 3.19, 6 Nd 3.31-3.46
In  0.4223  0.5777  0.9908  2 In 3.17-3.42, 1 Dy 3.19, 6 Nd 3.31-3.46
In  0.5777  0.4223  0.0092  2 In 3.17-3.42, 1 Dy 3.19, 6 Nd 3.31-3.46
In  0.5777  0.4223  0.4908  2 In 3.17-3.42, 1 Dy 3.19, 6 Nd 3.31-3.46
In  0.7449  0.2551  0.2500  2 Dy 3.14, 2 Nd 3.28

Space-group type: Cmcm (63)
Energy of formation: -0.305 eV per atom
Offset from the most stable computed form: 183 meV per atom
Density of states at the Fermi level: 0.924 states/eV/atom
Calculated volume: 30.3 Å³ per atom

***

Entry 5:
This record from Alexandria describes Pb2SI after structural relaxation. The functional is PBE-GGA.

Cell lengths 4.0780, 4.0780, 26.4185 Å; angles 90.00, 90.00, 120.00 degrees
Last column: nearest neighbours and their distance in Å.
Element x y z (fractional)
Pb  0.0000  0.0000  0.0000  3 S 3.05
Pb  0.0000  0.0000  0.1945  3 S 2.92
Pb  0.3333  0.6667  0.6667  3 S 3.05
Pb  0.3333  0.6667  0.8611  3 S 2.92
Pb  0.6667  0.3333  0.3333  3 S 3.05
Pb  0.6667  0.3333  0.5278  3 S 2.92
S  0.0000  0.0000  0.5934  6 Pb 2.92-3.05
S  0.3333  0.6667  0.2601  6 Pb 2.92-3.05
S  0.6667  0.3333  0.9267  6 Pb 2.92-3.05
I  0.0000  0.0000  0.7659  6 Pb 3.45-3.52
I  0.3333  0.6667  0.4325  6 Pb 3.45-3.52
I  0.6667  0.3333  0.0992  6 Pb 3.45-3.52

Raw formation energy: -0.3564 eV/atom
Space-group type: R3m (160)
Offset from the most stable computed form: 15 meV per atom
Density of states at the Fermi level: 0.541 states/eV/atom
Calculated volume: 31.7 Å³ per atom

***

Entry 6:
This record from Alexandria describes PaInAs2Rh5 after structural relaxation. The functional is PBE-GGA.

Cell lengths 4.1585, 4.1585, 8.7507 Å; angles 90.00, 90.00, 90.00 degrees
Last column: nearest neighbours and their distance in Å.
Element x y z (fractional)
Pa  0.0000  0.0000  0.0000  8 Rh 3.18, 8 As 3.18
In  0.0000  0.0000  0.5000  12 Rh 2.87-2.94
As  0.5000  0.5000  0.1397  4 Rh 2.39, 1 As 2.45
As  0.5000  0.5000  0.8603  4 Rh 2.39, 1 As 2.45
Rh  0.0000  0.5000  0.2746  2 As 2.39
Rh  0.0000  0.5000  0.7254  2 As 2.39
Rh  0.5000  0.0000  0.2746  2 As 2.39
Rh  0.5000  0.0000  0.7254  2 As 2.39
Rh  0.5000  0.5000  0.5000  8 Rh 2.87, 4 In 2.94, 2 As 3.15

Space-group type: P4/mmm (123)
Energy of formation: -0.548 eV per atom
Density of states at the Fermi level: 0.718 states/eV/atom
Calculated volume: 16.8 Å³ per atom

***

Question: Which value of calculated volume does entry 3 give?
Answer: 33.1 Å³ per atom

***

Question: Which formula does entry 2 have?
Answer: SiIr2Br

***

Question: Which of these has the highest density of states at the Fermi level?
Answer: SiIr2Br

***

Question: density of states at the Fermi level of number 2 (SiIr2Br)?
Answer: 0.937 states/eV/atom